Record 1
## K4AcTh3Te8 (PBE)

Data for a relaxed K4AcTh3Te8 crystal.

Cell: 9.1253 9.1253 25.3175 Å, 90.00 90.00 120.00°
Space group R-3m (No. 166, hexagonal axes)
Symmetry-distinct sites (fractional):
K 0.0000 0.0000 0.0000
K 0.0000 0.5000 0.0000
Ac 0.0000 0.0000 0.5000
Th 0.0000 0.5000 0.5000
Te 0.0000 0.0000 0.2390
Te 0.0126 0.5063 0.7592

Computed properties:
**Total DFT energy (no corrections)**: -0.34771 Ry/atom
**Formation energy without anion corrections**: -119 kJ per mole of atoms



Record 2
## CaLaO2F (PBE)

Data for a relaxed CaLaO2F crystal.

Cell: 4.385 4.385 4.100 Å, 90.00 90.00 90.00°
Space group P4/mmm (No. 123)
Symmetry-distinct sites (fractional):
Ca 0.000 0.000 0.000
La 0.500 0.500 0.500
O 0.000 0.500 0.000
F 0.000 0.000 0.500

Computed properties:
**Total DFT energy (no corrections)**: -0.48296 Ry/atom
**Formation energy without anion corrections**: -273 kJ per mole of atoms



Record 3
## IrOs3O (PBE)

Data for a relaxed IrOs3O crystal.

Cell: 4.063 4.063 4.063 Å, 90.00 90.00 90.00°
Space group Pm-3m (No. 221)
Symmetry-distinct sites (fractional):
Ir 0.000 0.000 0.000
Os 0.000 0.500 0.500
O 0.500 0.500 0.500

Computed properties:
**ΔE to the lowest computed polymorph**: 0.000 eV/atom
**Total DFT energy (no corrections)**: -0.63441 Ry/atom
**Formation energy without anion corrections**: 84 kJ per mole of atoms



Record 4
## ScGa2Pd2 (PBE)

Data for a relaxed ScGa2Pd2 crystal.

Cell: 3.767 3.767 12.454 Å, 90.00 90.00 90.00°
Space group I4/mmm (No. 139)
Symmetry-distinct sites (fractional):
Sc 0.000 0.000 0.000
Ga 0.000 0.500 0.250
Pd 0.000 0.000 0.393

Computed properties:
**Total DFT energy (no corrections)**: -0.37961 Ry/atom
**Calculated formation energy**: -0.611 eV/atom



Record 5
## RbBiC2O6 (PBE)

Data for a relaxed RbBiC2O6 crystal.

Cell: 9.017 9.945 7.425 Å, 90.00 112.75 90.00°
Space group C2/c (No. 15)
Symmetry-distinct sites (fractional):
Rb 0.000 0.119 0.250
Bi 0.000 0.413 0.750
C 0.224 0.383 0.256
O 0.078 0.392 0.114
O 0.184 0.216 0.728
O 0.239 0.018 0.619

Computed properties:
**Total DFT energy (no corrections)**: -0.50049 Ry/atom
**Formation energy without anion corrections**: -145 kJ per mole of atoms



Record 6
## K2TiBI (PBE)

Data for a relaxed K2TiBI crystal.

Cell: 6.595 6.595 5.303 Å, 90.00 90.00 90.00°
Space group P4/mmm (No. 123)
Symmetry-distinct sites (fractional):
K 0.000 0.500 0.000
Ti 0.000 0.000 0.500
B 0.500 0.500 0.500
I 0.000 0.000 0.000

Computed properties:
**Total DFT energy (no corrections)**: -0.17506 Ry/atom
**Formation energy without anion corrections**: 124 kJ per mole of atoms



Record 7
## TaNbCoRe (PBE)

Data for a relaxed TaNbCoRe crystal.

Cell: 6.315 6.315 6.315 Å, 90.00 90.00 90.00°
Space group F-43m (No. 216)
Symmetry-distinct sites (fractional):
Ta 0.000 0.000 0.000
Nb 0.000 0.000 0.500
Co 0.250 0.250 0.750
Re 0.250 0.250 0.250

Computed properties:
**Total DFT energy (no corrections)**: -0.77579 Ry/atom
**Calculated formation energy**: -0.186 eV/atom



Record 8
## Hf3Ga6Au (PBE)

Data for a relaxed Hf3Ga6Au crystal.

Cell: 9.8759 9.8759 13.4371 Å, 90.00 90.00 120.00°
Space group R-3 (No. 148, hexagonal axes)
Symmetry-distinct sites (fractional):
Hf 0.0250 0.5378 0.2955
Ga 0.0013 0.5345 0.0891
Ga 0.0562 0.1977 0.8401
Au 0.0000 0.0000 0.0000
Au 0.0000 0.0000 0.5000

Computed properties:
**Total DFT energy (no corrections)**: -0.38733 Ry/atom
**Calculated formation energy**: -0.140 eV/atom



Record 9
## AcS2BrO8 (PBE)

Data for a relaxed AcS2BrO8 crystal.

Cell: 6.2728 6.2728 6.6275 Å, 90.00 90.00 120.00°
Space group P-3m1 (No. 164)
Symmetry-distinct sites (fractional):
Ac 0.0000 0.0000 0.0000
S 0.3333 0.6667 0.7376
Br 0.0000 0.0000 0.5000
O 0.2050 0.4100 0.8215
O 0.3333 0.6667 0.5198

Computed properties:
**Total DFT energy (no corrections)**: -0.44232 Ry/atom
**Formation energy without anion corrections**: -149 kJ per mole of atoms



Record 10
## Dy2CuSn (PBE)

Data for a relaxed Dy2CuSn crystal.

Cell: 3.488 3.488 7.769 Å, 90.00 90.00 90.00°
Space group P4/mmm (No. 123)
Symmetry-distinct sites (fractional):
Dy 0.000 0.000 0.226
Cu 0.500 0.500 0.000
Sn 0.500 0.500 0.500

Computed properties:
**Total DFT energy (no corrections)**: -0.34932 Ry/atom
**Calculated formation energy**: -0.427 eV/atom



Looking at magnetic moment for the records above, in order, we have 0.0 0.0 0.0 0.0 0.0 2.0 1.6 0.0 2.1 0.0 μB per formula unit.